HfTl2HgS4: optimized geometry, PBE.

The structure in POSCAR format:
```
HfTl2HgS4
1.0
7.151 0.000 0.000
0.000 3.817 0.000
-2.663 0.000 7.364
Hf Tl Hg S
1 2 1 4
direct
0.000 0.000 0.000 Hf
0.000 0.500 0.500 Tl
0.500 0.000 0.500 Tl
0.500 0.500 0.000 Hg
0.197 0.500 0.204 S
0.249 0.000 0.822 S
0.751 0.000 0.178 S
0.803 0.500 0.796 S
```

Calculated values
DFT total energy = -37.17 eV per cell
Volume = 201 Å³ per cell